Arrangement 1

# HfZrGa

HfZrGa after structural relaxation (GGA-PBE, the Alexandria database).

Results
Magnetization, μB/f.u.: 0.00

Cell and atoms, written as POSCAR:
```
HfZrGa
1.0
5.246 -0.080 -1.349
-3.122 4.216 -1.349
0.036 0.070 5.490
Hf Zr Ga
2 2 2
Cartesian
0.341 0.664 1.285 Hf
1.819 3.542 1.507 Hf
-0.211 2.722 -1.349 Zr
2.335 1.414 -1.349 Zr
3.172 1.029 1.396 Ga
-1.012 3.177 1.396 Ga
```


Arrangement 2

# HfZrGa

HfZrGa after structural relaxation (GGA-PBE, the Alexandria database).

Results
Magnetization, μB/f.u.: 0.00

Cell and atoms, written as POSCAR:
```
HfZrGa
1.0
-2.971 -3.583 -0.457
0.468 -3.786 2.705
-4.007 2.745 4.534
Hf Zr Ga
2 2 2
Cartesian
-2.127 -4.599 2.017 Hf
-4.383 -0.025 4.765 Hf
-4.157 -3.208 4.314 Zr
-2.353 -1.416 2.468 Zr
-5.534 -5.292 5.678 Ga
-0.976 0.668 1.104 Ga
```


Relative to the most stable structure, the computed energies are arrangement 1 0.0; arrangement 2 31.6, all in kJ/mol of atoms.


Arrangement 1

# Hf2ZrGa

Hf2ZrGa after structural relaxation (GGA-PBE, the Alexandria database).

Results
Magnetization, μB/f.u.: 0.93

Cell and atoms, written as POSCAR:
```
Hf2ZrGa
1.0
1.302 -2.995 -3.607
1.708 -4.440 1.021
-2.692 -3.930 -0.991
Hf Ga Zr
2 1 1
Cartesian
0.080 -2.841 -0.894 Hf
0.239 -8.523 -2.683 Hf
0.000 0.000 0.000 Ga
0.159 -5.682 -1.789 Zr
```


Arrangement 2

# Hf2ZrGa

Hf2ZrGa after structural relaxation (GGA-PBE, the Alexandria database).

Results
Magnetization, μB/f.u.: 0.00

Cell and atoms, written as POSCAR:
```
Hf2ZrGa
1.0
3.359 0.000 0.000
0.000 3.359 0.000
0.000 0.000 7.377
Hf Ga Zr
2 1 1
Cartesian
0.000 0.000 5.708 Hf
0.000 0.000 1.669 Hf
1.680 1.680 0.000 Ga
1.680 1.680 3.689 Zr
```


Arrangement 3

# Hf2ZrGa

Hf2ZrGa after structural relaxation (GGA-PBE, the Alexandria database).

Results
Magnetization, μB/f.u.: 0.00

Cell and atoms, written as POSCAR:
```
Hf2ZrGa
1.0
-3.862 0.333 1.350
-1.357 -0.032 -3.874
-3.376 -10.170 -0.908
Hf Ga Zr
4 2 2
Cartesian
-3.417 -2.339 0.129 Hf
-2.185 -2.520 -2.476 Hf
-4.493 -7.515 -1.638 Hf
-7.095 -7.364 -2.879 Hf
-2.609 0.151 -1.262 Ga
-3.671 -5.026 -3.022 Ga
0.000 0.000 0.000 Zr
-4.924 -4.843 -0.410 Zr
```


Arrangement 4

# Hf2ZrGa

Hf2ZrGa after structural relaxation (GGA-PBE, the Alexandria database).

Results
Magnetization, μB/f.u.: 0.00

Cell and atoms, written as POSCAR:
```
Hf2ZrGa
1.0
-3.696 -0.832 2.131
0.644 -4.241 -0.539
2.183 -0.142 3.729
Hf Ga Zr
2 1 1
Cartesian
1.091 -0.071 1.864 Hf
0.322 -2.120 -0.269 Hf
-1.848 -0.416 1.066 Ga
-0.434 -2.607 2.661 Zr
```


Relative to the most stable structure, the computed energies are arrangement 1 20.4; arrangement 2 7.4; arrangement 3 40.7; arrangement 4 0.0, all in kJ/mol of atoms.


Arrangement 1

# HfZrGa2

HfZrGa2 after structural relaxation (GGA-PBE, the Alexandria database).

Results
Magnetization, μB/f.u.: 0.00

Cell and atoms, written as POSCAR:
```
HfZrGa2
1.0
-0.539 2.754 -1.183
-2.240 -1.169 -1.700
-5.268 1.505 5.905
Hf Ga Zr
1 2 1
Cartesian
-1.389 0.792 -1.442 Hf
-3.963 1.133 4.443 Ga
-1.304 0.373 1.462 Ga
-4.023 1.545 1.511 Zr
```


Arrangement 2

# HfZrGa2

HfZrGa2 after structural relaxation (GGA-PBE, the Alexandria database).

Results
Magnetization, μB/f.u.: 0.00

Cell and atoms, written as POSCAR:
```
HfZrGa2
1.0
4.432 0.000 0.000
2.216 3.838 0.000
2.216 1.279 4.630
Hf Ga Zr
1 2 1
Cartesian
4.432 2.559 2.315 Hf
6.648 3.838 3.433 Ga
2.216 1.279 1.197 Ga
0.000 0.000 0.000 Zr
```


Arrangement 3

# HfZrGa2

HfZrGa2 after structural relaxation (GGA-PBE, the Alexandria database).

Results
Magnetization, μB/f.u.: 0.00

Cell and atoms, written as POSCAR:
```
HfZrGa2
1.0
-4.511 2.660 5.273
5.069 -1.659 5.174
1.475 3.160 4.904
Hf Ga Zr
2 4 2
Cartesian
0.000 0.000 0.000 Hf
-1.378 3.160 7.700 Hf
-1.825 2.250 5.178 Ga
2.982 0.081 5.109 Ga
1.307 2.749 7.586 Ga
1.605 3.243 12.829 Ga
0.279 0.501 5.223 Zr
3.412 1.001 7.651 Zr
```


Relative to the most stable structure, the computed energies are arrangement 1 0.0; arrangement 2 10.1; arrangement 3 28.1, all in kJ/mol of atoms.


Arrangement 1

# HfZrGa2

HfZrGa2 after structural relaxation (GGA-PBE, the Alexandria database).

Results
Magnetization, μB/f.u.: 0.00

Cell and atoms, written as POSCAR:
```
HfZrGa2
1.0
-0.247 -4.656 -0.912
1.543 -3.136 3.218
-3.108 -2.718 2.348
Hf Ga Zr
1 2 1
Cartesian
-0.906 -5.255 2.327 Hf
-0.453 -2.627 1.164 Ga
-1.360 -7.882 3.491 Ga
0.000 0.000 0.000 Zr
```


Arrangement 2

# HfZrGa2

HfZrGa2 after structural relaxation (GGA-PBE, the Alexandria database).

Results
Magnetization, μB/f.u.: 0.00

Cell and atoms, written as POSCAR:
```
HfZrGa2
1.0
4.041 0.000 0.000
0.000 4.301 0.000
0.000 0.000 4.301
Hf Ga Zr
1 2 1
Cartesian
2.020 0.000 0.000 Hf
0.000 0.000 2.151 Ga
0.000 2.151 0.000 Ga
2.020 2.151 2.151 Zr
```


Arrangement 3

# HfZrGa2

HfZrGa2 after structural relaxation (GGA-PBE, the Alexandria database).

Results
Magnetization, μB/f.u.: 0.00

Cell and atoms, written as POSCAR:
```
HfZrGa2
1.0
3.920 0.000 -0.027
0.000 3.831 0.000
-1.928 0.000 5.112
Hf Zr Ga
1 1 2
Cartesian
0.915 1.915 2.119 Hf
0.938 0.000 5.050 Zr
-1.027 1.915 4.432 Ga
-1.040 0.000 2.768 Ga
```


Relative to the most stable structure, the computed energies are arrangement 1 24.5; arrangement 2 10.7; arrangement 3 0.0, all in kJ/mol of atoms.


Arrangement 1

# GaHg4

GaHg4 after structural relaxation (GGA-PBE, the Alexandria database).

Results
Magnetization, μB/f.u.: 0.00

Cell and atoms, written as POSCAR:
```
GaHg4
1.0
-4.292 -5.341 -0.948
0.924 -3.895 4.508
-7.073 0.608 3.368
Ga Hg
2 8
Cartesian
-6.583 -0.538 4.292 Ga
-3.859 -8.089 2.636 Ga
-6.194 -3.158 3.137 Hg
-8.306 -5.227 2.194 Hg
-1.994 -1.946 1.958 Hg
-4.007 -3.898 1.041 Hg
-8.448 -6.681 4.970 Hg
-6.435 -4.730 5.887 Hg
-2.136 -3.400 4.734 Hg
-4.248 -5.469 3.791 Hg
```


Arrangement 2

# GaHg4

GaHg4 after structural relaxation (GGA-PBE, the Alexandria database).

Results
Magnetization, μB/f.u.: 0.00

Cell and atoms, written as POSCAR:
```
GaHg4
1.0
-3.371 -2.835 -3.162
3.401 0.615 -4.178
2.543 -4.581 1.396
Hg Ga
4 1
Cartesian
0.000 0.000 0.000 Hg
-0.414 -3.708 -0.883 Hg
2.972 -1.983 -1.391 Hg
0.015 -1.110 -3.670 Hg
1.286 -3.401 -2.972 Ga
```


Relative to the most stable structure, the computed energies are arrangement 1 0.6; arrangement 2 0.0, all in kJ/mol of atoms.


Arrangement 1

# GaHg6

GaHg6 after structural relaxation (GGA-PBE, the Alexandria database).

Results
Magnetization, μB/f.u.: 0.00

Cell and atoms, written as POSCAR:
```
GaHg6
1.0
-0.513 -5.304 -0.164
4.017 -3.105 1.626
-1.326 -3.320 7.435
Ga Hg
1 6
Cartesian
0.000 0.000 0.000 Ga
1.327 -8.753 7.395 Hg
0.506 -5.869 5.931 Hg
-0.305 -3.059 4.531 Hg
2.483 -8.670 4.366 Hg
1.672 -5.860 2.966 Hg
0.851 -2.976 1.502 Hg
```


Arrangement 2

# GaHg6

GaHg6 after structural relaxation (GGA-PBE, the Alexandria database).

Results
Magnetization, μB/f.u.: 0.00

Cell and atoms, written as POSCAR:
```
GaHg6
1.0
7.091 0.000 0.000
-2.364 6.685 0.000
-2.364 -3.343 5.790
Ga Hg
1 6
Cartesian
0.000 0.000 0.000 Ga
-1.182 3.343 2.895 Hg
1.182 4.178 1.447 Hg
-1.182 0.836 4.342 Hg
3.545 0.000 2.895 Hg
1.182 -0.836 4.342 Hg
3.545 2.507 1.447 Hg
```


Relative to the most stable structure, the computed energies are arrangement 1 0.0; arrangement 2 29.1, all in kJ/mol of atoms.


Arrangement 1

# Ga4Hg

Ga4Hg after structural relaxation (GGA-PBE, the Alexandria database).

Results
Magnetization, μB/f.u.: 0.00

Cell and atoms, written as POSCAR:
```
Ga4Hg
1.0
5.198 0.000 0.000
0.000 5.198 0.000
0.000 0.000 5.198
Hg Ga
1 4
Cartesian
2.599 2.599 2.599 Hg
0.000 0.000 0.000 Ga
2.599 0.000 2.599 Ga
0.000 2.599 2.599 Ga
2.599 2.599 0.000 Ga
```


Arrangement 2

# Ga4Hg

Ga4Hg after structural relaxation (GGA-PBE, the Alexandria database).

Results
Magnetization, μB/f.u.: 0.00

Cell and atoms, written as POSCAR:
```
Ga4Hg
1.0
3.716 -0.244 -0.719
-0.707 4.751 -1.502
-0.140 -0.215 6.095
Ga Hg
4 1
Cartesian
2.192 3.689 -1.347 Ga
0.678 0.603 5.221 Ga
-0.202 2.547 3.529 Ga
3.072 1.744 0.345 Ga
1.082 4.521 1.186 Hg
```


Relative to the most stable structure, the computed energies are arrangement 1 44.9; arrangement 2 0.0, all in kJ/mol of atoms.


Arrangement 1

# Ho5Ga2Hg

Ho5Ga2Hg after structural relaxation (GGA-PBE, the Alexandria database).

Results
Magnetization, μB/f.u.: 0.00

Cell and atoms, written as POSCAR:
```
Ho5Ga2Hg
1.0
5.052 0.000 0.000
-2.526 4.379 0.000
0.000 0.000 19.635
Ho Ga Hg
10 4 2
Cartesian
2.526 4.373 16.632 Ho
2.526 4.373 12.821 Ho
0.000 2.923 8.750 Ho
0.000 2.923 1.067 Ho
2.526 1.469 4.909 Ho
0.000 2.910 14.727 Ho
2.526 1.456 10.885 Ho
2.526 1.456 18.568 Ho
0.000 0.006 3.004 Ho
0.000 0.006 6.814 Ho
2.526 1.465 7.927 Ga
2.526 1.465 1.890 Ga
0.000 2.914 11.708 Ga
0.000 2.914 17.745 Ga
2.526 1.449 14.727 Hg
0.000 2.930 4.909 Hg
```


Arrangement 2

# Ho5Ga2Hg

Ho5Ga2Hg after structural relaxation (GGA-PBE, the Alexandria database).

Results
Magnetization, μB/f.u.: 0.00

Cell and atoms, written as POSCAR:
```
Ho5Ga2Hg
1.0
1.726 -6.860 -2.635
5.979 -0.262 4.600
-7.997 0.516 4.232
Ho Ga Hg
10 4 2
Cartesian
-0.677 -3.416 4.769 Ho
4.915 -5.699 3.563 Ho
0.000 0.000 0.000 Ho
3.852 -3.561 0.982 Ho
-5.207 -0.907 2.633 Ho
-3.391 -4.379 2.049 Ho
-2.493 0.055 5.353 Ho
3.099 -2.228 4.147 Ho
2.201 -6.662 0.843 Ho
0.384 -3.190 1.427 Ho
2.470 -0.937 1.416 Ga
1.805 -4.300 -1.077 Ga
5.900 -2.822 3.042 Ga
5.235 -6.185 0.549 Ga
1.780 -5.084 3.589 Hg
-2.072 -1.523 2.607 Hg
```


Relative to the most stable structure, the computed energies are arrangement 1 13.4; arrangement 2 0.0, all in kJ/mol of atoms.